Na3Cd6Sn5, relaxed, DFT PBE; size of the total moment = 0.00 μB/f.u.; crystal system = orthorhombic; SG = Pmmn, No. 59; formation energy from the elements = -0.090 eV per atom
1.0
4.895 0.000 0.000
0.000 13.944 0.000
0.000 0.000 10.943
Na Cd Sn
6 12 10
Direct
0.250 0.042 0.246
0.250 0.458 0.246
0.250 0.750 0.253
0.750 0.250 0.747
0.750 0.542 0.754
0.750 0.958 0.754
0.250 0.104 0.615
0.250 0.250 0.069
0.250 0.250 0.416
0.250 0.396 0.615
0.250 0.596 0.973
0.250 0.904 0.973
0.750 0.096 0.027
0.750 0.404 0.027
0.750 0.604 0.385
0.750 0.750 0.584
0.750 0.750 0.931
0.750 0.896 0.385
0.250 0.101 0.874
0.250 0.399 0.874
0.250 0.604 0.541
0.250 0.750 0.760
0.250 0.896 0.541
0.750 0.104 0.459
0.750 0.250 0.240
0.750 0.396 0.459
0.750 0.601 0.126
0.750 0.899 0.126



LaTb4Bi5, relaxed, DFT PBE; size of the total moment = 0.00 μB/f.u.; crystal system = monoclinic; SG = C2/m, No. 12; formation energy from the elements = -0.910 eV per atom
1.0
7.518 -2.270 0.000
7.518 2.270 0.000
-5.471 0.000 9.673
La Tb Bi
1 4 5
Direct
0.000 0.000 0.000
0.202 0.202 0.796
0.403 0.403 0.602
0.597 0.597 0.398
0.798 0.798 0.204
0.000 0.000 0.500
0.203 0.203 0.307
0.395 0.395 0.103
0.605 0.605 0.897
0.797 0.797 0.693



Ca2CdTe, relaxed, DFT PBE; E above lowest polymorph = 50.70 kJ/mol of atoms; size of the total moment = 0.00 μB/f.u.; crystal system = cubic; SG = F-43m, No. 216; formation energy without anion corrections = -0.315 eV per atom
1.0
0.000 3.949 3.949
3.949 0.000 3.949
3.949 3.949 0.000
Ca Cd Te
2 1 1
Direct
0.000 0.000 0.000
0.250 0.250 0.250
0.750 0.750 0.750
0.500 0.500 0.500



Mn2CrCl, relaxed, DFT PBE; E above lowest polymorph = 78.45 kJ/mol of atoms; size of the total moment = 8.07 μB/f.u.; crystal system = tetragonal; SG = P4/mmm, No. 123; formation energy without anion corrections = 0.904 eV per atom
1.0
3.560 0.000 0.000
0.000 3.560 0.000
0.000 0.000 4.337
Mn Cr Cl
2 1 1
Direct
0.000 0.500 0.000
0.500 0.000 0.000
0.000 0.000 0.500
0.500 0.500 0.500



ZnCo2Hg, relaxed, DFT PBE; size of the total moment = 2.87 μB/f.u.; crystal system = monoclinic; SG = C2/m, No. 12; formation energy from the elements = 0.326 eV per atom
1.0
4.293 -1.405 0.000
4.293 1.405 0.000
-0.919 0.000 4.844
Zn Co Hg
1 2 1
Direct
0.000 0.000 0.000
0.255 0.255 0.797
0.745 0.745 0.203
0.500 0.500 0.500



InGeCl3, relaxed, DFT PBE; size of the total moment = 0.00 μB/f.u.; crystal system = monoclinic; SG = P2_1/c, No. 14; formation energy without anion corrections = -0.820 eV per atom
1.0
8.097 0.000 0.000
0.000 7.993 0.000
-2.940 0.000 10.651
In Ge Cl
4 4 12
Direct
0.007 0.218 0.052
0.007 0.282 0.552
0.993 0.718 0.448
0.993 0.782 0.948
0.401 0.218 0.375
0.401 0.282 0.875
0.599 0.718 0.125
0.599 0.782 0.625
0.152 0.108 0.800
0.152 0.392 0.300
0.252 0.029 0.481
0.252 0.471 0.981
0.355 0.060 0.190
0.355 0.440 0.690
0.645 0.560 0.310
0.645 0.940 0.810
0.748 0.529 0.019
0.748 0.971 0.519
0.848 0.608 0.700
0.848 0.892 0.200



La4TlSn2, relaxed, DFT PBE; E above lowest polymorph = 1.11 kJ/mol of atoms; size of the total moment = 0.00 μB/f.u.; crystal system = monoclinic; SG = P2_1/m, No. 11; formation energy from the elements = -0.512 eV per atom
1.0
6.085 0.000 0.000
0.000 6.852 0.000
-2.206 0.000 10.858
La Tl Sn
8 2 4
Direct
0.154 0.250 0.124
0.253 0.750 0.456
0.317 0.020 0.738
0.317 0.480 0.738
0.683 0.520 0.262
0.683 0.980 0.262
0.747 0.250 0.544
0.846 0.750 0.876
0.109 0.750 0.172
0.891 0.250 0.828
0.210 0.250 0.433
0.404 0.750 0.999
0.596 0.250 0.001
0.790 0.750 0.567



Pr2MgPaRu2, relaxed, DFT PBE; size of the total moment = 0.00 μB/f.u.; crystal system = orthorhombic; SG = Ibam, No. 72; formation energy from the elements = -0.265 eV per atom
1.0
-3.217 7.002 3.326
3.217 -7.002 3.326
3.217 7.002 -3.326
Pr Mg Pa Ru
4 2 2 4
Direct
0.183 0.221 0.404
0.317 0.721 0.038
0.683 0.279 0.962
0.817 0.779 0.596
0.250 0.250 0.000
0.750 0.750 0.000
0.250 0.750 0.500
0.750 0.250 0.500
0.104 0.707 0.811
0.396 0.207 0.602
0.604 0.793 0.398
0.896 0.293 0.189